1.
# Cs2PtSe2 PBE optimized geometry
# M_tot = 0.000 μB per formula unit
# Theoretical density = 6.84 g/cm3
# ΔE_f (raw) = -248 kJ/mol of formula units
# Energy = -0.2541 Ry/atom
data_Cs2PtSe2
_chemical_formula_sum 'Cs4 Pt2 Se4'
_cell_length_a 7.1444
_cell_length_b 7.1444
_cell_length_c 5.8903
_cell_angle_alpha 90.00
_cell_angle_beta 90.00
_cell_angle_gamma 90.00
_symmetry_space_group_name_H-M 'P 4/m b m'
_symmetry_Int_Tables_number 127
_symmetry_space_group_name_Hall '-P 4 2ab'
loop_
_atom_site_label
_atom_site_fract_x
_atom_site_fract_y
_atom_site_fract_z
Cs1 0.1702 0.3298 0.0000
Pt1 0.0000 0.0000 0.5000
Se1 0.1642 0.6642 0.5000

=====

2.
# NbRe3N PBE optimized geometry
# Distance to the lowest polymorph of the same formula = 3614.9 meV/atom
# M_tot = 0.001 μB per formula unit
# Theoretical density = 10.36 g/cm3
# ΔE_f (raw) = 1783 kJ/mol of formula units
# Energy = -0.5477 Ry/atom
data_NbRe3N
_chemical_formula_sum 'Nb1 Re3 N1'
_cell_length_a 4.7420
_cell_length_b 4.7420
_cell_length_c 4.7420
_cell_angle_alpha 90.00
_cell_angle_beta 90.00
_cell_angle_gamma 90.00
_symmetry_space_group_name_H-M 'P m -3 m'
_symmetry_Int_Tables_number 221
_symmetry_space_group_name_Hall '-P 4 2 3'
loop_
_atom_site_label
_atom_site_fract_x
_atom_site_fract_y
_atom_site_fract_z
Nb1 0.0000 0.0000 0.0000
Re1 0.0000 0.0000 0.5000
N1 0.5000 0.5000 0.5000

=====

Among the records above, which one has the highest M_tot? NbRe3N

=====

M_tot of number 2 (NbRe3N)? 0.001 μB per formula unit

=====

Which of these has the lowest energy? NbRe3N